--- one ---
Computed, not measured: a relaxed structure of TlFe3O at the PBE+U level of DFT.

a = 4.317 Å, b = 4.317 Å, c = 4.317 Å
α = 90.00°, β = 90.00°, γ = 90.00°
Atoms (fractional coordinates):
Tl1 0.500 0.500 0.500
Fe1 0.500 0.000 0.000
Fe2 0.000 0.500 0.000
Fe3 0.000 0.000 0.500
O1 0.000 0.000 0.000

Calculated values
* theoretical density: 8004 kg/m3
* space-group type: No. 221

--- two ---
Computed, not measured: a relaxed structure of TlFe3O at the PBE+U level of DFT.

a = 5.155 Å, b = 5.155 Å, c = 5.155 Å
α = 90.00°, β = 90.00°, γ = 90.00°
Atoms (fractional coordinates):
Fe1 0.000 0.000 0.500
Fe2 0.500 0.000 0.000
Fe3 0.000 0.500 0.000
O1 0.500 0.500 0.500
Tl1 0.000 0.000 0.000

Calculated values
* theoretical density: 4701 kg/m3
* space-group type: No. 221

Consider the structures shown above. The least stable of them is two.